A relaxed MgCdSe2 crystal. Source: the Alexandria database, functional GGA-PBE.

Its symmetry is F-43m, No. 216. The formation energy without anion corrections comes out at -0.0269 eV per atom. As for the total magnetic moment: 0.00 μB/cell.

abc: 4.985 4.985 4.985
angles: 60.00 60.00 60.00
Atoms (fractional coordinates):
Mg1 0.000 0.000 0.000
Cd1 0.750 0.750 0.750
Se1 0.250 0.250 0.250
Se2 0.500 0.500 0.500